[1]
Zr6CoPd | Alexandria via LeMat-Bulk | GGA-PBE | relaxed; raw total energy = -8.178 eV per atom; symmetry = No. 139
1.0
4.4609 0.0002 1.3431
-0.4047 4.4415 1.3434
-0.0234 -0.0268 8.1563
Zr Pd Co
6 1 1
direct
0.7491 0.7491 0.5018
0.3908 0.8908 0.2183
0.6092 0.1092 0.7817
0.2509 0.2509 0.4982
0.1092 0.6092 0.7816
0.8908 0.3908 0.2184
0.0000 0.0000 0.0000
0.5000 0.5000 0.0000


[2]
Zr2Co2Pd | Alexandria via LeMat-Bulk | GGA-PBE | relaxed; raw total energy = -7.725 eV per atom; symmetry = No. 127
1.0
-4.8509 -4.6783 1.2196
4.7952 -4.4352 2.0594
-0.3080 1.1547 3.2041
Pd Co Zr
2 4 4
direct
0.0000 0.0000 0.0000
0.5000 0.5000 0.0000
0.3761 0.8761 0.0000
0.1239 0.3761 0.0000
0.8761 0.6239 0.0000
0.6239 0.1239 0.0000
0.8249 0.3249 0.5000
0.3249 0.1751 0.5000
0.1751 0.6751 0.5000
0.6751 0.8249 0.5000


[3]
ZrCo2Pd2 | Alexandria via LeMat-Bulk | GGA-PBE | relaxed; raw total energy = -6.759 eV per atom; symmetry = No. 127
1.0
-5.9242 -0.5656 2.4984
0.5159 -6.4294 -0.2321
1.4048 -0.0075 3.3294
Co Pd Zr
4 4 2
direct
0.8734 0.6266 0.0000
0.1266 0.3734 0.0000
0.6266 0.1266 0.0000
0.3734 0.8734 0.0000
0.6661 0.8339 0.5000
0.3339 0.1661 0.5000
0.1661 0.6661 0.5000
0.8339 0.3339 0.5000
0.5000 0.5000 0.0000
0.0000 0.0000 0.0000


[4]
Zr7Co2Pd2 | Alexandria via LeMat-Bulk | GGA-PBE | relaxed; raw total energy = -7.772 eV per atom; symmetry = No. 65
1.0
-5.5114 -1.4661 -2.3087
-0.2205 -5.1590 3.8001
-0.8100 3.6403 4.8935
Co Zr Pd
2 7 2
direct
0.7114 0.0000 0.2886
0.2886 0.0000 0.7114
0.5000 0.2493 0.5000
0.5000 0.2571 0.0000
0.0000 0.2571 0.5000
0.0000 0.0000 0.0000
0.0000 0.7429 0.5000
0.5000 0.7507 0.5000
0.5000 0.7429 0.0000
0.1834 0.5000 0.1834
0.8166 0.5000 0.8166


[5]
ZrCoPd | Alexandria via LeMat-Bulk | GGA-PBE | relaxed; raw total energy = -6.998 eV per atom; symmetry = No. 166
1.0
4.4333 0.0000 0.0000
2.2166 3.8393 0.0000
2.2166 1.2798 6.0834
Co Zr Pd
2 2 2
direct
0.2790 0.2790 0.1631
0.7210 0.7210 0.8369
0.5867 0.5867 0.2398
0.4133 0.4133 0.7602
0.8658 0.8658 0.4026
0.1342 0.1342 0.5974


[6]
Zr2Co2Pd | Alexandria via LeMat-Bulk | GGA-PBE | relaxed; raw total energy = -7.442 eV per atom; symmetry = No. 139
1.0
3.2763 0.0000 0.0000
0.0000 3.2763 0.0000
1.6382 1.6382 7.9393
Co Pd Zr
2 1 2
direct
0.7500 0.2500 0.5000
0.2500 0.7500 0.5000
0.0000 0.0000 0.0000
0.6137 0.6137 0.7726
0.3863 0.3863 0.2274


[7]
ZrCoPd3 | Alexandria via LeMat-Bulk | GGA-PBE | relaxed; raw total energy = -5.186 eV per atom; symmetry = No. 221
1.0
4.8609 0.0000 0.0000
0.0000 4.8609 0.0000
0.0000 0.0000 4.8609
Co Pd Zr
1 3 1
direct
0.5000 0.5000 0.5000
0.5000 0.0000 0.0000
0.0000 0.0000 0.5000
0.0000 0.5000 0.0000
0.0000 0.0000 0.0000


[8]
Pm2Co | Alexandria via LeMat-Bulk | GGA-PBE | relaxed; raw total energy = -5.534 eV per atom; symmetry = No. 139
1.0
3.4549 -0.0018 0.0036
-0.0018 3.4549 0.0036
-1.7311 -1.7311 6.5517
Pm Co
2 1
direct
0.8737 0.8737 0.7477
0.1263 0.1263 0.2523
0.5000 0.5000 0.0000


[9]
Pm5Co4 | Alexandria via LeMat-Bulk | GGA-PBE | relaxed; raw total energy = -5.869 eV per atom; symmetry = No. 12
1.0
-1.3224 2.2775 -2.9052
2.2918 -1.9602 -5.2261
-6.6258 -5.6690 -4.0747
Co Pm
4 5
direct
0.5910 0.4278 0.3903
0.5366 0.7448 0.1819
0.4090 0.5722 0.6097
0.4634 0.2552 0.8181
0.8911 0.8208 0.3970
0.0000 0.0000 0.0000
0.7709 0.6401 0.8181
0.2291 0.3599 0.1819
0.1089 0.1792 0.6030


[10]
Pm2Co | Alexandria via LeMat-Bulk | GGA-PBE | relaxed; raw total energy = -5.568 eV per atom; symmetry = No. 12
1.0
-3.9255 0.5290 0.8416
-2.3203 -3.1855 0.9555
-0.5336 2.1621 5.9254
Co Pm
1 2
direct
0.5279 0.9775 0.9922
0.0333 0.7249 0.2340
0.0224 0.2303 0.7504